VASP calculation (GGA-PBE) on crystalline NbV2W at its relaxed geometry.

## Properties
Electronic total energy in eV/f.u.: -38.6
E above lowest polymorph in eV per atom: 0.673
Space-group type: I-42d, No. 122
Total moment in μB per cell: 0.00
Calculated formation energy in eV/atom: 0.65

a = 6.9674 Å, b = 6.9674 Å, c = 5.6210 Å
α = 51.70°, β = 51.70°, γ = 90.00°
With the nearest neighbours (Å) after each atom.
Fractional positions:
Nb  0.5000  0.5000  0.0000  4 V 2.61, 2 W 2.71
Nb  0.2500  0.7500  0.5000  4 V 2.61, 2 W 2.71
W  0.0000  0.0000  0.0000  4 V 2.50, 2 Nb 2.71
W  0.7500  0.2500  0.5000  4 V 2.50, 2 Nb 2.71
V  0.6359  0.1250  0.2500  2 W 2.50, 2 Nb 2.61, 2 V 2.71
V  0.1141  0.6250  0.2500  2 W 2.50, 2 Nb 2.61, 2 V 2.71
V  0.3750  0.3641  0.7500  2 W 2.50, 2 Nb 2.61, 2 V 2.71
V  0.8750  0.8859  0.7500  2 W 2.50, 2 Nb 2.61, 2 V 2.71



VASP calculation (GGA-PBE) on crystalline Ca2ErUAs4 at its relaxed geometry.

## Properties
Electronic total energy in eV/f.u.: -47.7
Space-group type: P2/m, No. 10
Total moment in μB per cell: 1.00
Calculated formation energy in eV/atom: -1.15

a = 4.1760 Å, b = 7.1581 Å, c = 7.2375 Å
α = 109.15°, β = 90.00°, γ = 90.00°
With the nearest neighbours (Å) after each atom.
Fractional positions:
Ca  0.5000  0.0000  0.5000  6 As 2.99-3.01
Ca  0.0000  0.5000  0.5000  6 As 3.05-3.06
Er  0.5000  0.5000  0.0000  6 As 2.89-2.90
U  0.0000  0.0000  0.0000  6 As 2.80-2.85
As  0.5000  0.2373  0.2290  2 U 2.85, 1 Er 2.89, 3 Ca 2.99-3.05
As  0.5000  0.7627  0.7710  2 U 2.85, 1 Er 2.89, 3 Ca 2.99-3.05
As  0.0000  0.2475  0.7696  1 U 2.80, 2 Er 2.90, 3 Ca 3.01-3.06
As  0.0000  0.7525  0.2304  1 U 2.80, 2 Er 2.90, 3 Ca 3.01-3.06



VASP calculation (GGA-PBE) on crystalline PrMgAlIn at its relaxed geometry.

## Properties
Electronic total energy in eV/f.u.: -13.8
Space-group type: F-43m, No. 216
Total moment in μB per cell: 0.00
Calculated formation energy in eV/atom: -0.23

a = 5.1880 Å, b = 5.1880 Å, c = 5.1880 Å
α = 60.00°, β = 60.00°, γ = 60.00°
With the nearest neighbours (Å) after each atom.
Fractional positions:
Pr  0.5000  0.5000  0.5000  4 In 3.18, 4 Al 3.18
Mg  0.0000  0.0000  0.0000  4 Al 3.18, 4 In 3.18
Al  0.2500  0.2500  0.2500  4 Pr 3.18, 4 Mg 3.18
In  0.7500  0.7500  0.7500  4 Pr 3.18, 4 Mg 3.18



VASP calculation (GGA-PBE) on crystalline LiNpScSe3 at its relaxed geometry.

## Properties
Electronic total energy in eV/f.u.: -39.5
Space-group type: P2_1/m, No. 11
Total moment in μB per cell: 9.33

a = 3.9044 Å, b = 8.0999 Å, c = 8.6790 Å
α = 104.52°, β = 90.00°, γ = 90.00°
With the nearest neighbours (Å) after each atom.
Fractional positions:
Li  0.2500  0.0897  0.5838  4 Se 2.45-2.56, 2 Li 2.64
Li  0.7500  0.9103  0.4162  4 Se 2.45-2.56, 2 Li 2.64
Np  0.2500  0.1870  0.2239  7 Se 2.95-3.07
Np  0.7500  0.8130  0.7761  7 Se 2.95-3.07
Sc  0.2500  0.6677  0.1592  6 Se 2.71-2.83
Sc  0.7500  0.3323  0.8408  6 Se 2.71-2.83
Se  0.7500  0.8986  0.1313  1 Li 2.45
Se  0.2500  0.1014  0.8687  1 Li 2.45
Se  0.2500  0.7632  0.4957  3 Li 2.47-2.56
Se  0.7500  0.2368  0.5043  3 Li 2.47-2.56
Se  0.7500  0.4372  0.1665  3 Sc 2.71-2.74, 2 Np 2.95
Se  0.2500  0.5628  0.8335  3 Sc 2.71-2.74, 2 Np 2.95



VASP calculation (GGA-PBE) on crystalline Ho11Tl9Cd4 at its relaxed geometry.

## Properties
Electronic total energy in eV/f.u.: -81.9
Space-group type: Cmmm, No. 65
Total moment in μB per cell: 0.11
Calculated formation energy in eV/atom: -0.28

a = 3.6836 Å, b = 13.6477 Å, c = 13.6477 Å
α = 110.60°, β = 90.00°, γ = 90.00°
With the nearest neighbours (Å) after each atom.
Fractional positions:
Ho  0.0000  0.5921  0.9375  2 Cd 3.16, 6 Tl 3.22-3.39, 1 Ho 3.50
Ho  0.0000  0.4079  0.0625  2 Cd 3.16, 6 Tl 3.22-3.39, 1 Ho 3.50
Ho  0.0000  0.9375  0.5921  2 Cd 3.16, 6 Tl 3.22-3.39, 1 Ho 3.50
Ho  0.0000  0.0625  0.4079  2 Cd 3.16, 6 Tl 3.22-3.39, 1 Ho 3.50
Ho  0.0000  0.6342  0.3658  4 Cd 3.20, 6 Tl 3.37-3.53
Ho  0.0000  0.3658  0.6342  4 Cd 3.20, 6 Tl 3.37-3.53
Ho  0.0000  0.8211  0.1789  8 Tl 3.27-3.28, 2 Ho 3.66
Ho  0.0000  0.1789  0.8211  8 Tl 3.27-3.28, 2 Ho 3.66
Ho  0.0000  0.0000  0.0000  8 Tl 3.25
Ho  0.0000  0.7613  0.7613  4 Cd 3.16, 4 Tl 3.31
Ho  0.0000  0.2387  0.2387  4 Cd 3.16, 4 Tl 3.31
Tl  0.5000  0.6159  0.1534  8 Ho 3.24-3.39, 1 Cd 3.29, 1 Tl 3.58
Tl  0.5000  0.3841  0.8466  8 Ho 3.24-3.39, 1 Cd 3.29, 1 Tl 3.58
Tl  0.5000  0.1534  0.6159  8 Ho 3.24-3.39, 1 Cd 3.29, 1 Tl 3.58
Tl  0.5000  0.8466  0.3841  8 Ho 3.24-3.39, 1 Cd 3.29, 1 Tl 3.58
Tl  0.5000  0.7954  0.9724  8 Ho 3.22-3.31, 1 Cd 3.57, 1 Tl 3.61
Tl  0.5000  0.2046  0.0276  8 Ho 3.22-3.31, 1 Cd 3.57, 1 Tl 3.61
Tl  0.5000  0.9724  0.7954  8 Ho 3.22-3.31, 1 Cd 3.57, 1 Tl 3.61
Tl  0.5000  0.0276  0.2046  8 Ho 3.22-3.31, 1 Cd 3.57, 1 Tl 3.61
Tl  0.5000  0.5000  0.5000  4 Cd 3.10
Cd  0.5000  0.5671  0.7417  2 Tl 3.10-3.29, 6 Ho 3.16-3.20
Cd  0.5000  0.4329  0.2583  2 Tl 3.10-3.29, 6 Ho 3.16-3.20
Cd  0.5000  0.7417  0.5671  2 Tl 3.10-3.29, 6 Ho 3.16-3.20
Cd  0.5000  0.2583  0.4329  2 Tl 3.10-3.29, 6 Ho 3.16-3.20



VASP calculation (GGA-PBE) on crystalline Li5Tb3Cl12 at its relaxed geometry.

## Properties
Electronic total energy in eV/f.u.: -82.9
Space-group type: Ia-3d, No. 230
Total moment in μB per cell: 0.02

a = 13.1092 Å, b = 13.1092 Å, c = 13.1092 Å
α = 109.47°, β = 109.47°, γ = 109.47°
With the nearest neighbours (Å) after each atom.
Fractional positions:
Tb  0.7500  0.3750  0.1250  8 Cl 2.89-2.90
Tb  0.8750  0.7500  0.1250  8 Cl 2.89-2.90
Tb  0.3750  0.7500  0.6250  8 Cl 2.89-2.90
Tb  0.2500  0.1250  0.3750  8 Cl 2.89-2.90
Tb  0.8750  0.1250  0.2500  8 Cl 2.89-2.90
Tb  0.3750  0.6250  0.2500  8 Cl 2.89-2.90
Tb  0.6250  0.3750  0.7500  8 Cl 2.89-2.90
Tb  0.1250  0.8750  0.7500  8 Cl 2.89-2.90
Tb  0.7500  0.8750  0.6250  8 Cl 2.89-2.90
Tb  0.6250  0.2500  0.3750  8 Cl 2.89-2.90
Tb  0.1250  0.2500  0.8750  8 Cl 2.89-2.90
Tb  0.2500  0.6250  0.8750  8 Cl 2.89-2.90
Li  0.1250  0.3750  0.2500  4 Cl 2.29
Li  0.0000  0.5000  0.0000  6 Cl 2.54
Li  0.0000  0.0000  0.0000  6 Cl 2.54
Li  0.3750  0.2500  0.1250  4 Cl 2.29
Li  0.5000  0.0000  0.5000  6 Cl 2.54
Li  0.5000  0.5000  0.0000  6 Cl 2.54
Li  0.1250  0.7500  0.3750  4 Cl 2.29
Li  0.7500  0.1250  0.8750  4 Cl 2.29
Li  0.7500  0.6250  0.3750  4 Cl 2.29
Li  0.3750  0.1250  0.7500  4 Cl 2.29
Li  0.6250  0.8750  0.2500  4 Cl 2.29
Li  0.5000  0.5000  0.5000  6 Cl 2.54
Li  0.5000  0.0000  0.0000  6 Cl 2.54
Li  0.0000  0.0000  0.5000  6 Cl 2.54
Li  0.2500  0.3750  0.6250  4 Cl 2.29
Li  0.2500  0.8750  0.1250  4 Cl 2.29
Li  0.0000  0.5000  0.5000  6 Cl 2.54
Li  0.8750  0.2500  0.6250  4 Cl 2.29
Li  0.6250  0.7500  0.8750  4 Cl 2.29
Li  0.8750  0.6250  0.7500  4 Cl 2.29
Cl  0.7158  0.1249  0.0352  2 Li 2.29-2.54
Cl  0.3193  0.5352  0.4103  2 Li 2.29-2.54
Cl  0.9648  0.3751  0.2842  2 Li 2.29-2.54
Cl  0.5352  0.2158  0.1249  2 Li 2.29-2.54
Cl  0.5909  0.7158  0.6807  2 Li 2.29-2.54
Cl  0.9648  0.5897  0.1807  2 Li 2.29-2.54
Cl  0.3193  0.7842  0.4091  2 Li 2.29-2.54
Cl  0.0897  0.9091  0.1249  2 Li 2.29-2.54
Cl  0.5897  0.9648  0.6807  2 Li 2.29-2.54
Cl  0.7158  0.5909  0.1807  2 Li 2.29-2.54
Cl  0.7842  0.4648  0.3751  2 Li 2.29-2.54
Cl  0.8193  0.9103  0.0352  2 Li 2.29-2.54
Cl  0.1249  0.7158  0.5352  2 Li 2.29-2.54
Cl  0.3751  0.4103  0.0909  2 Li 2.29-2.54
Cl  0.0909  0.9103  0.3751  2 Li 2.29-2.54
Cl  0.4091  0.1249  0.5897  2 Li 2.29-2.54
Cl  0.0909  0.1807  0.2158  2 Li 2.29-2.54
Cl  0.4648  0.6807  0.0897  2 Li 2.29-2.54
Cl  0.8193  0.9091  0.2842  2 Li 2.29-2.54
Cl  0.1249  0.4091  0.0897  2 Li 2.29-2.54
Cl  0.3751  0.9648  0.7842  2 Li 2.29-2.54
Cl  0.5897  0.6249  0.4091  2 Li 2.29-2.54
Cl  0.9103  0.8193  0.5352  2 Li 2.29-2.54
Cl  0.7842  0.3193  0.9091  2 Li 2.29-2.54
Cl  0.4103  0.3751  0.5909  2 Li 2.29-2.54
Cl  0.0897  0.1807  0.4648  2 Li 2.29-2.54
Cl  0.2158  0.6807  0.0909  2 Li 2.29-2.54
Cl  0.1807  0.0909  0.7158  2 Li 2.29-2.54
Cl  0.6249  0.0352  0.2158  2 Li 2.29-2.54
Cl  0.8751  0.5909  0.9103  2 Li 2.29-2.54
Cl  0.5352  0.3193  0.9103  2 Li 2.29-2.54
Cl  0.5909  0.8751  0.4103  2 Li 2.29-2.54
Cl  0.9091  0.8193  0.7842  2 Li 2.29-2.54
Cl  0.9091  0.0897  0.6249  2 Li 2.29-2.54
Cl  0.8751  0.2842  0.4648  2 Li 2.29-2.54
Cl  0.1807  0.0897  0.9648  2 Li 2.29-2.54
Cl  0.6249  0.5897  0.9091  2 Li 2.29-2.54
Cl  0.4103  0.0352  0.3193  2 Li 2.29-2.54
Cl  0.2842  0.4091  0.8193  2 Li 2.29-2.54
Cl  0.2158  0.5352  0.6249  2 Li 2.29-2.54
Cl  0.9103  0.0909  0.8751  2 Li 2.29-2.54
Cl  0.6807  0.2158  0.5909  2 Li 2.29-2.54
Cl  0.4648  0.7842  0.8751  2 Li 2.29-2.54
Cl  0.0352  0.4103  0.8193  2 Li 2.29-2.54
Cl  0.4091  0.2842  0.3193  2 Li 2.29-2.54
Cl  0.0352  0.6249  0.7158  2 Li 2.29-2.54
Cl  0.6807  0.4648  0.5897  2 Li 2.29-2.54
Cl  0.2842  0.8751  0.9648  2 Li 2.29-2.54



VASP calculation (GGA-PBE) on crystalline ZrV2Cu2 at its relaxed geometry.

## Properties
Electronic total energy in eV/f.u.: -34.1
E above lowest polymorph in eV per atom: 0.009
Space-group type: P4/mbm, No. 127
Total moment in μB per cell: 0.00
Calculated formation energy in eV/atom: 0.18

a = 7.5047 Å, b = 7.5047 Å, c = 2.6309 Å
α = 90.00°, β = 90.00°, γ = 90.00°
With the nearest neighbours (Å) after each atom.
Fractional positions:
Zr  0.0000  0.0000  0.0000  2 Zr 2.63
Zr  0.5000  0.5000  0.0000  2 Zr 2.63
Cu  0.1822  0.6822  0.5000  6 V 2.55-2.62, 2 Cu 2.63
Cu  0.6822  0.8178  0.5000  6 V 2.55-2.62, 2 Cu 2.63
Cu  0.8178  0.3178  0.5000  6 V 2.55-2.62, 2 Cu 2.63
Cu  0.3178  0.1822  0.5000  6 V 2.55-2.62, 2 Cu 2.63
V  0.3885  0.8885  0.0000  3 V 2.37-2.63, 6 Cu 2.55-2.62
V  0.8885  0.6115  0.0000  3 V 2.37-2.63, 6 Cu 2.55-2.62
V  0.6115  0.1115  0.0000  3 V 2.37-2.63, 6 Cu 2.55-2.62
V  0.1115  0.3885  0.0000  3 V 2.37-2.63, 6 Cu 2.55-2.62



VASP calculation (GGA-PBE) on crystalline RbBa2BiO6 at its relaxed geometry.

## Properties
Electronic total energy in eV/f.u.: -53.6
Space-group type: P2_1/c, No. 14
Total moment in μB per cell: 4.05

a = 6.4374 Å, b = 6.8007 Å, c = 9.2134 Å
α = 90.00°, β = 88.29°, γ = 90.00°
With the nearest neighbours (Å) after each atom.
Fractional positions:
Rb  0.5000  0.0000  0.0000  6 O 2.75-2.91
Rb  0.0000  0.5000  0.5000  6 O 2.75-2.91
Ba  0.0130  0.9519  0.2640  6 O 2.69-2.96
Ba  0.5130  0.5481  0.7640  6 O 2.69-2.96
Ba  0.9870  0.0481  0.7360  6 O 2.69-2.96
Ba  0.4870  0.4519  0.2360  6 O 2.69-2.96
Bi  0.5000  0.0000  0.5000  6 O 2.13-2.15
Bi  0.0000  0.5000  0.0000  6 O 2.13-2.15
O  0.2806  0.6562  0.0349  1 Bi 2.13
O  0.7806  0.8438  0.5349  1 Bi 2.13
O  0.7194  0.3438  0.9651  1 Bi 2.13
O  0.2194  0.1562  0.4651  1 Bi 2.13
O  0.3486  0.7482  0.4091  1 Bi 2.15
O  0.8486  0.7518  0.9091  1 Bi 2.15
O  0.6514  0.2518  0.5909  1 Bi 2.15
O  0.1514  0.2482  0.0909  1 Bi 2.15
O  0.8791  0.5864  0.2083  1 Bi 2.13
O  0.3791  0.9136  0.7083  1 Bi 2.13
O  0.1209  0.4136  0.7917  1 Bi 2.13
O  0.6209  0.0864  0.2917  1 Bi 2.13